Record 1
The following is a DFT calculation (PBE-GGA) of crystalline TeO2 at its relaxed geometry.

Cell lengths 4.4944, 4.4944, 5.4545 Å; angles 95.08, 95.08, 66.48 degrees
Last column: nearest neighbours and their distance in Å.
Fractional positions:
Te 0.1408 0.1408 0.2766  3 O 1.88-2.00
Te 0.8592 0.8592 0.7234  3 O 1.88-2.00
O 0.1979 0.8021 0.0000  2 Te 2.00
O 0.2003 0.7997 0.5000  2 Te 1.96
O 0.5906 0.0347 0.3199  1 Te 1.88
O 0.9653 0.4094 0.6801  1 Te 1.88

Calculated values
SG: C2

=====

Record 2
The following is a DFT calculation (PBE-GGA) of crystalline TeO3 at its relaxed geometry.

Cell lengths 9.7028, 8.0934, 5.1664 Å; angles 90.00, 90.00, 90.00 degrees
Last column: nearest neighbours and their distance in Å.
Fractional positions:
Te 0.0897 0.1198 0.0000  6 O 1.92-2.02
Te 0.1250 0.5280 0.2928  6 O 1.94-1.99
Te 0.3750 0.0280 0.7928  6 O 1.94-1.99
Te 0.4103 0.6198 0.5000  6 O 1.92-2.02
Te 0.5897 0.3802 0.0000  6 O 1.92-2.02
Te 0.6250 0.9720 0.2928  6 O 1.94-1.99
Te 0.8750 0.4720 0.7928  6 O 1.94-1.99
Te 0.9103 0.8802 0.5000  6 O 1.92-2.02
O 0.9999 0.0703 0.3292  2 Te 1.95-1.98
O 0.0001 0.9297 0.8292  2 Te 1.95-1.98
O 0.0287 0.5772 0.9685  2 Te 1.94-1.96
O 0.0670 0.7522 0.3920  2 Te 1.92-1.97
O 0.1802 0.3125 0.1616  2 Te 1.95-1.97
O 0.2072 0.1415 0.6794  2 Te 1.96-2.02
O 0.2448 0.4944 0.6002  2 Te 1.97-1.99
O 0.2552 0.9944 0.1002  2 Te 1.97-1.99
O 0.2928 0.6415 0.1794  2 Te 1.96-2.02
O 0.3198 0.8125 0.6616  2 Te 1.95-1.97
O 0.4330 0.2522 0.8920  2 Te 1.92-1.97
O 0.4713 0.0772 0.4685  2 Te 1.94-1.96
O 0.4999 0.4297 0.3292  2 Te 1.95-1.98
O 0.5001 0.5703 0.8292  2 Te 1.95-1.98
O 0.5287 0.9228 0.9685  2 Te 1.94-1.96
O 0.5670 0.7478 0.3920  2 Te 1.92-1.97
O 0.6802 0.1875 0.1616  2 Te 1.95-1.97
O 0.7072 0.3585 0.6794  2 Te 1.96-2.02
O 0.7448 0.0056 0.6002  2 Te 1.97-1.99
O 0.7552 0.5056 0.1002  2 Te 1.97-1.99
O 0.7928 0.8585 0.1794  2 Te 1.96-2.02
O 0.8198 0.6875 0.6616  2 Te 1.95-1.97
O 0.9330 0.2478 0.8920  2 Te 1.92-1.97
O 0.9713 0.4228 0.4685  2 Te 1.94-1.96

Calculated values
SG: Pna2_1

=====

Record 3
The following is a DFT calculation (PBE-GGA) of crystalline TeO2 at its relaxed geometry.

Cell lengths 5.4450, 4.0187, 7.9225 Å; angles 90.00, 92.99, 90.00 degrees
Last column: nearest neighbours and their distance in Å.
Fractional positions:
Te 0.1886 0.2500 0.3909  5 O 2.07-2.12
Te 0.2898 0.2500 0.8526  2 O 1.89-1.97
Te 0.7102 0.7500 0.1474  2 O 1.89-1.97
Te 0.8114 0.7500 0.6091  5 O 2.07-2.12
O 0.0836 0.7500 0.4358  3 Te 2.07-2.12
O 0.1203 0.7500 0.7783  3 Te 2.10-2.28
O 0.3673 0.7500 0.0931  1 Te 1.89
O 0.3951 0.2500 0.6180  2 Te 1.97-2.07
O 0.6049 0.7500 0.3820  2 Te 1.97-2.07
O 0.6327 0.2500 0.9069  1 Te 1.89
O 0.8797 0.2500 0.2217  3 Te 2.10-2.28
O 0.9164 0.2500 0.5642  3 Te 2.07-2.12

Calculated values
SG: P2_1/m

=====

Record 4
The following is a DFT calculation (PBE-GGA) of crystalline TeO2 at its relaxed geometry.

Cell lengths 5.0939, 5.0939, 3.4213 Å; angles 90.00, 90.00, 90.00 degrees
Last column: nearest neighbours and their distance in Å.
Fractional positions:
Te 0.0000 0.0000 0.0000  6 O 2.18-2.23
Te 0.5000 0.5000 0.5000  6 O 2.18-2.23
O 0.1976 0.1976 0.5000  3 Te 2.18-2.23
O 0.3024 0.6976 0.0000  3 Te 2.18-2.23
O 0.6976 0.3024 0.0000  3 Te 2.18-2.23
O 0.8024 0.8024 0.5000  3 Te 2.18-2.23

Calculated values
SG: P4_2/mnm

=====

Record 5
The following is a DFT calculation (PBE-GGA) of crystalline TeO2 at its relaxed geometry.

Cell lengths 5.2359, 5.2359, 8.2777 Å; angles 117.78, 117.78, 35.93 degrees
Last column: nearest neighbours and their distance in Å.
Fractional positions:
Te 0.1577 0.1577 0.2954  3 O 1.95-2.05
Te 0.8423 0.8423 0.7046  3 O 1.95-2.05
O 0.1651 0.1651 0.5354  1 Te 1.95
O 0.4870 0.4870 0.7806  2 Te 2.05
O 0.5130 0.5130 0.2194  2 Te 2.05
O 0.8349 0.8349 0.4646  1 Te 1.95

Calculated values
SG: C2/m

=====

Record 6
The following is a DFT calculation (PBE-GGA) of crystalline TeO2 at its relaxed geometry.

Cell lengths 4.9768, 4.9768, 7.6196 Å; angles 90.00, 90.00, 90.00 degrees
Last column: nearest neighbours and their distance in Å.
Fractional positions:
Te 0.0322 0.0322 0.0000  2 O 1.91
Te 0.4678 0.5322 0.7500  2 O 1.91
Te 0.5322 0.4678 0.2500  2 O 1.91
Te 0.9678 0.9678 0.5000  2 O 1.91
O 0.1464 0.2544 0.8092  1 Te 1.91
O 0.2456 0.6464 0.5592  1 Te 1.91
O 0.2544 0.1464 0.1908  1 Te 1.91
O 0.3536 0.7544 0.9408  1 Te 1.91
O 0.6464 0.2456 0.4408  1 Te 1.91
O 0.7456 0.8536 0.6908  1 Te 1.91
O 0.7544 0.3536 0.0592  1 Te 1.91
O 0.8536 0.7456 0.3092  1 Te 1.91

Calculated values
SG: P4_32_12

=====

Record 7
The following is a DFT calculation (PBE-GGA) of crystalline TeO3 at its relaxed geometry.

Cell lengths 4.8484, 4.8484, 4.5135 Å; angles 90.00, 90.00, 120.00 degrees
Last column: nearest neighbours and their distance in Å.
Fractional positions:
Te 0.3333 0.6667 0.2500  6 O 1.96
Te 0.6667 0.3333 0.7500  6 O 1.96
O 0.0000 0.3368 0.0000  2 Te 1.96
O 0.0000 0.6632 0.5000  2 Te 1.96
O 0.3368 0.0000 0.0000  2 Te 1.96
O 0.3368 0.3368 0.5000  2 Te 1.96
O 0.6632 0.0000 0.5000  2 Te 1.96
O 0.6632 0.6632 0.0000  2 Te 1.96

Calculated values
SG: P6_322

=====

Record 8
The following is a DFT calculation (PBE-GGA) of crystalline TeO3 at its relaxed geometry.

Cell lengths 5.2855, 5.2855, 5.2855 Å; angles 57.01, 57.01, 57.01 degrees
Last column: nearest neighbours and their distance in Å.
Fractional positions:
Te 0.0000 0.0000 0.0000  6 O 1.95
Te 0.5000 0.5000 0.5000  6 O 1.95
O 0.1142 0.7500 0.3858  2 Te 1.95
O 0.2500 0.6142 0.8858  2 Te 1.95
O 0.3858 0.1142 0.7500  2 Te 1.95
O 0.6142 0.8858 0.2500  2 Te 1.95
O 0.7500 0.3858 0.1142  2 Te 1.95
O 0.8858 0.2500 0.6142  2 Te 1.95

Calculated values
SG: R-3c

=====

Let's list ΔE_f (raw) in order: -0.979; -0.756; -0.863; -0.804; -0.847; -1.015; -0.714; -0.795 eV per atom.